# Sm4Er3Cd4 (PBE, relaxed)
data_Sm4Er3Cd4
_chemical_formula_sum 'Sm8 Er6 Cd8'
_cell_length_a 3.489
_cell_length_b 5.345
_cell_length_c 34.080
_cell_angle_alpha 90.00
_cell_angle_beta 90.00
_cell_angle_gamma 90.00
_space_group_name_H-M_alt 'I m m m'
_space_group_IT_number 71
_space_group_name_Hall '-I 2 2'
loop_
_atom_site_label
_atom_site_type_symbol
_atom_site_fract_x
_atom_site_fract_y
_atom_site_fract_z
Sm1 Sm 0.000 0.000 0.091
Sm2 Sm 0.000 0.500 0.232
Er1 Er 0.000 0.000 0.362
Er2 Er 0.000 0.500 0.500
Cd1 Cd 0.000 0.000 0.181
Cd2 Cd 0.000 0.500 0.043
# Fermi-level density of states (states/eV/atom): 1.1174
# Formation energy (eV per atom): -0.0418

---

# SmErCd5 (PBE, relaxed)
data_SmErCd5
_chemical_formula_sum 'Sm1 Er1 Cd5'
_cell_length_a 5.166
_cell_length_b 5.166
_cell_length_c 6.892
_cell_angle_alpha 90.00
_cell_angle_beta 90.00
_cell_angle_gamma 90.00
_space_group_name_H-M_alt 'P 4/m m m'
_space_group_IT_number 123
_space_group_name_Hall '-P 4 2'
loop_
_atom_site_label
_atom_site_type_symbol
_atom_site_fract_x
_atom_site_fract_y
_atom_site_fract_z
Sm1 Sm 0.000 0.000 0.000
Er1 Er 0.500 0.500 0.500
Cd1 Cd 0.000 0.500 0.271
Cd2 Cd 0.500 0.500 0.000
# Fermi-level density of states (states/eV/atom): 0.6619
# Formation energy (eV per atom): -0.1050

---

# Sm6ErCd5 (PBE, relaxed)
data_Sm6ErCd5
_chemical_formula_sum 'Sm12 Er2 Cd10'
_cell_length_a 5.370
_cell_length_b 7.792
_cell_length_c 16.280
_cell_angle_alpha 90.00
_cell_angle_beta 90.00
_cell_angle_gamma 90.00
_space_group_name_H-M_alt 'I m m m'
_space_group_IT_number 71
_space_group_name_Hall '-I 2 2'
loop_
_atom_site_label
_atom_site_type_symbol
_atom_site_fract_x
_atom_site_fract_y
_atom_site_fract_z
Sm1 Sm 0.000 0.234 0.000
Sm2 Sm 0.000 0.256 0.329
Er1 Er 0.000 0.000 0.500
Cd1 Cd 0.000 0.000 0.168
Cd2 Cd 0.000 0.500 0.154
Cd3 Cd 0.000 0.500 0.500
# Fermi-level density of states (states/eV/atom): 1.3443
# Formation energy (eV per atom): -0.2236

---

# SmEr2Cd2 (PBE, relaxed)
data_SmEr2Cd2
_chemical_formula_sum 'Sm4 Er8 Cd8'
_cell_length_a 4.902
_cell_length_b 4.902
_cell_length_c 24.718
_cell_angle_alpha 90.00
_cell_angle_beta 90.00
_cell_angle_gamma 90.00
_space_group_name_H-M_alt 'I 4/m m m'
_space_group_IT_number 139
_space_group_name_Hall '-I 4 2'
loop_
_atom_site_label
_atom_site_type_symbol
_atom_site_fract_x
_atom_site_fract_y
_atom_site_fract_z
Sm1 Sm 0.000 0.000 0.125
Er1 Er 0.000 0.000 0.318
Er2 Er 0.000 0.500 0.000
Cd1 Cd 0.000 0.000 0.430
Cd2 Cd 0.000 0.500 0.250
# Fermi-level density of states (states/eV/atom): 0.7240
# Formation energy (eV per atom): -0.0200
# ΔE to the lowest computed polymorph (meV per atom): 233

---

# SmEr3Cd (PBE, relaxed)
data_SmEr3Cd
_chemical_formula_sum 'Sm2 Er6 Cd2'
_cell_length_a 3.758
_cell_length_b 8.065
_cell_length_c 10.427
_cell_angle_alpha 90.00
_cell_angle_beta 100.34
_cell_angle_gamma 90.00
_space_group_name_H-M_alt 'P 1 21/m 1'
_space_group_IT_number 11
loop_
_space_group_symop_operation_xyz
'x,y,z'
'-x,-y,-z'
'-x,y+1/2,-z'
'x,-y+1/2,z'
loop_
_atom_site_label
_atom_site_type_symbol
_atom_site_fract_x
_atom_site_fract_y
_atom_site_fract_z
Sm1 Sm 0.018 0.250 0.039
Er1 Er 0.191 0.250 0.380
Er2 Er 0.399 0.038 0.798
Cd1 Cd 0.190 0.750 0.381
# Fermi-level density of states (states/eV/atom): 1.5791
# Formation energy (eV per atom): 0.0643
# ΔE to the lowest computed polymorph (meV per atom): 169

---

# SmEr3Cd3 (PBE, relaxed)
data_SmEr3Cd3
_chemical_formula_sum 'Sm4 Er12 Cd12'
_cell_length_a 10.506
_cell_length_b 10.753
_cell_length_c 6.992
_cell_angle_alpha 90.00
_cell_angle_beta 90.00
_cell_angle_gamma 90.00
_space_group_name_H-M_alt 'C m m m'
_space_group_IT_number 65
_space_group_name_Hall '-C 2 2'
loop_
_atom_site_label
_atom_site_type_symbol
_atom_site_fract_x
_atom_site_fract_y
_atom_site_fract_z
Sm1 Sm 0.226 0.000 0.000
Er1 Er 0.000 0.246 0.500
Er2 Er 0.000 0.247 0.000
Er3 Er 0.235 0.000 0.500
Cd1 Cd 0.000 0.500 0.248
Cd2 Cd 0.250 0.250 0.254
# Fermi-level density of states (states/eV/atom): 1.2763
# Formation energy (eV per atom): -0.1304